Record 1
# NaAg2I4

NaAg2I4 after structural relaxation (PBE, Alexandria via LeMat-Bulk).

Results
**Formation energy (no corrections)**: -0.421 eV/atom
**DOS at the Fermi energy**: 1.05 states/eV/atom

Structure (CIF):
```
data_NaAg2I4
_chemical_formula_sum 'Na1 Ag2 I4'
_cell_length_a 6.230
_cell_length_b 6.230
_cell_length_c 7.551
_cell_angle_alpha 90.00
_cell_angle_beta 90.00
_cell_angle_gamma 90.00
_space_group_name_H-M_alt 'P -4 2 m'
_space_group_IT_number 111
loop_
_space_group_symop_operation_xyz
'x,y,z'
'y,-x,-z'
'-x,-y,z'
'-y,x,-z'
'x,-y,-z'
'y,x,z'
'-x,y,-z'
'-y,-x,z'
loop_
_atom_site_label
_atom_site_type_symbol
_atom_site_fract_x
_atom_site_fract_y
_atom_site_fract_z
Na1 Na 0.000 0.000 0.000
Ag1 Ag 0.000 0.500 0.500
I1 I 0.265 0.265 0.268
```


Record 2
# NaAg4I5

NaAg4I5 after structural relaxation (PBE, Alexandria via LeMat-Bulk).

Results
**Formation energy (no corrections)**: -0.442 eV/atom
**DOS at the Fermi energy**: 0.00 states/eV/atom

Structure (CIF):
```
data_NaAg4I5
_chemical_formula_sum 'Na2 Ag8 I10'
_cell_length_a 4.7262
_cell_length_b 4.7262
_cell_length_c 39.0861
_cell_angle_alpha 90.00
_cell_angle_beta 90.00
_cell_angle_gamma 120.00
_space_group_name_H-M_alt 'P 3 m 1'
_space_group_IT_number 156
loop_
_space_group_symop_operation_xyz
'x,y,z'
'-y,x-y,z'
'-x+y,-x,z'
'-y,-x,z'
'-x+y,y,z'
'x,x-y,z'
loop_
_atom_site_label
_atom_site_type_symbol
_atom_site_fract_x
_atom_site_fract_y
_atom_site_fract_z
Na1 Na 0.0000 0.0000 0.0000
Na2 Na 0.0000 0.0000 0.2089
Ag1 Ag 0.0000 0.0000 0.4119
Ag2 Ag 0.0000 0.0000 0.6060
Ag3 Ag 0.0000 0.0000 0.8000
Ag4 Ag 0.3333 0.6667 0.1058
Ag5 Ag 0.3333 0.6667 0.3148
Ag6 Ag 0.3333 0.6667 0.5090
Ag7 Ag 0.3333 0.6667 0.7030
Ag8 Ag 0.3333 0.6667 0.8969
I1 I 0.0000 0.0000 0.1296
I2 I 0.0000 0.0000 0.3384
I3 I 0.0000 0.0000 0.5324
I4 I 0.0000 0.0000 0.7264
I5 I 0.0000 0.0000 0.9206
I6 I 0.3333 0.6667 0.0324
I7 I 0.3333 0.6667 0.2414
I8 I 0.3333 0.6667 0.4355
I9 I 0.3333 0.6667 0.6294
I10 I 0.3333 0.6667 0.8234
```


Record 3
# NaAgI2

NaAgI2 after structural relaxation (PBE, Alexandria via LeMat-Bulk).

Results
**Formation energy (no corrections)**: -0.481 eV/atom
**ΔE to the lowest computed polymorph**: 251 meV per atom
**DOS at the Fermi energy**: 0.04 states/eV/atom

Structure (CIF):
```
data_NaAgI2
_chemical_formula_sum 'Na1 Ag1 I2'
_cell_length_a 5.559
_cell_length_b 5.559
_cell_length_c 3.942
_cell_angle_alpha 90.00
_cell_angle_beta 90.00
_cell_angle_gamma 90.00
_space_group_name_H-M_alt 'P 4/m m m'
_space_group_IT_number 123
_space_group_name_Hall '-P 4 2'
loop_
_atom_site_label
_atom_site_type_symbol
_atom_site_fract_x
_atom_site_fract_y
_atom_site_fract_z
Na1 Na 0.000 0.000 0.000
Ag1 Ag 0.500 0.500 0.000
I1 I 0.000 0.500 0.500
```


Record 4
# Na2AgI3

Na2AgI3 after structural relaxation (PBE, Alexandria via LeMat-Bulk).

Results
**Formation energy (no corrections)**: -0.888 eV/atom
**DOS at the Fermi energy**: 0.00 states/eV/atom

Structure (CIF):
```
data_Na2AgI3
_chemical_formula_sum 'Na8 Ag4 I12'
_cell_length_a 12.582
_cell_length_b 4.460
_cell_length_c 15.030
_cell_angle_alpha 90.00
_cell_angle_beta 90.00
_cell_angle_gamma 90.00
_space_group_name_H-M_alt 'P n m a'
_space_group_IT_number 62
loop_
_space_group_symop_operation_xyz
'x,y,z'
'-x,-y,-z'
'-x+1/2,-y,z+1/2'
'x+1/2,y,-z+1/2'
'x+1/2,-y+1/2,-z+1/2'
'-x+1/2,y+1/2,z+1/2'
'-x,y+1/2,-z'
'x,-y+1/2,z'
loop_
_atom_site_label
_atom_site_type_symbol
_atom_site_fract_x
_atom_site_fract_y
_atom_site_fract_z
Na1 Na 0.000 0.250 0.250
Na2 Na 0.250 0.250 0.030
Ag1 Ag 0.250 0.250 0.732
I1 I 0.076 0.250 0.611
I2 I 0.077 0.750 0.111
I3 I 0.250 0.250 0.353
```


Record 5
# Na2AgI4

Na2AgI4 after structural relaxation (PBE, Alexandria via LeMat-Bulk).

Results
**Formation energy (no corrections)**: -0.686 eV/atom
**ΔE to the lowest computed polymorph**: 0 meV per atom
**DOS at the Fermi energy**: 0.94 states/eV/atom

Structure (CIF):
```
data_Na2AgI4
_chemical_formula_sum 'Na4 Ag2 I8'
_cell_length_a 15.532
_cell_length_b 4.687
_cell_length_c 7.997
_cell_angle_alpha 90.00
_cell_angle_beta 120.13
_cell_angle_gamma 90.00
_space_group_name_H-M_alt 'C 1 2/m 1'
_space_group_IT_number 12
loop_
_space_group_symop_operation_xyz
'x,y,z'
'-x,-y,-z'
'-x,y,-z'
'x,-y,z'
'x+1/2,y+1/2,z'
'-x+1/2,-y+1/2,-z'
'-x+1/2,y+1/2,-z'
'x+1/2,-y+1/2,z'
loop_
_atom_site_label
_atom_site_type_symbol
_atom_site_fract_x
_atom_site_fract_y
_atom_site_fract_z
Na1 Na 0.219 0.000 0.194
Ag1 Ag 0.000 0.500 0.500
I1 I 0.102 0.500 0.900
I2 I 0.141 0.000 0.501
```


Record 6
# NaAgI2

NaAgI2 after structural relaxation (PBE, Alexandria via LeMat-Bulk).

Results
**Formation energy (no corrections)**: -0.722 eV/atom
**ΔE to the lowest computed polymorph**: 10 meV per atom
**DOS at the Fermi energy**: 0.00 states/eV/atom

Structure (CIF):
```
data_NaAgI2
_chemical_formula_sum 'Na2 Ag2 I4'
_cell_length_a 8.346
_cell_length_b 4.822
_cell_length_c 8.485
_cell_angle_alpha 90.00
_cell_angle_beta 109.10
_cell_angle_gamma 90.00
_space_group_name_H-M_alt 'C 1 m 1'
_space_group_IT_number 8
loop_
_space_group_symop_operation_xyz
'x,y,z'
'x,-y,z'
'x+1/2,y+1/2,z'
'x+1/2,-y+1/2,z'
loop_
_atom_site_label
_atom_site_type_symbol
_atom_site_fract_x
_atom_site_fract_y
_atom_site_fract_z
Na1 Na 0.000 0.000 0.000
Ag1 Ag 0.003 0.500 0.508
I1 I 0.371 0.500 0.613
I2 I 0.383 0.000 0.149
```